Entry 1:
The following is a DFT calculation (PBE) of Tb2Zn2InRh5 after structural relaxation.

Unit cell a=9.690 b=9.690 c=3.692 alpha=90.00 beta=90.00 gamma=90.00
Space group P4/mbm (No. 127)
Symmetry-distinct sites (fractional):
Tb 0.174 0.326 0.000 (multiplicity 4)
Zn 0.123 0.623 0.000 (multiplicity 4)
In 0.000 0.000 0.000 (multiplicity 2)
Rh 0.000 0.500 0.500 (multiplicity 2)
Rh 0.070 0.794 0.500 (multiplicity 8)

**Calculated formation energy**: -0.6081 eV per atom
**Total moment**: 0.0 μB/f.u.
**V**: 17.336 Å³/atom

=====

Entry 2:
The following is a DFT calculation (PBE) of Er2PuZn after structural relaxation.

Unit cell a=7.417 b=7.417 c=7.417 alpha=90.00 beta=90.00 gamma=90.00
Space group Fm-3m (No. 225)
Symmetry-distinct sites (fractional):
Er 0.250 0.250 0.250 (multiplicity 8)
Pu 0.000 0.000 0.000 (multiplicity 4)
Zn 0.000 0.000 0.500 (multiplicity 4)

**Calculated formation energy**: 0.1236 eV per atom
**Total moment**: 6.5 μB/f.u.
**V**: 25.498 Å³/atom

=====

Entry 3:
The following is a DFT calculation (PBE) of TiAgAu2 after structural relaxation.

Unit cell a=6.534 b=6.534 c=6.534 alpha=90.00 beta=90.00 gamma=90.00
Space group Fm-3m (No. 225)
Symmetry-distinct sites (fractional):
Ti 0.000 0.000 0.000 (multiplicity 4)
Ag 0.000 0.000 0.500 (multiplicity 4)
Au 0.250 0.250 0.250 (multiplicity 8)

**Calculated formation energy**: -0.2121 eV per atom
**Total moment**: 0.0 μB/f.u.
**V**: 17.432 Å³/atom

=====

Entry 4:
The following is a DFT calculation (PBE) of RbAgBr2F after structural relaxation.

Unit cell a=5.481 b=5.481 c=4.455 alpha=90.00 beta=90.00 gamma=90.00
Space group P4/mmm (No. 123)
Symmetry-distinct sites (fractional):
Rb 0.000 0.000 0.000 (multiplicity 1)
Ag 0.500 0.500 0.500 (multiplicity 1)
Br 0.000 0.500 0.500 (multiplicity 2)
F 0.500 0.500 0.000 (multiplicity 1)

**Total moment**: 0.0 μB/f.u.
**Raw formation energy**: -5.82 eV per formula unit
**V**: 26.765 Å³/atom

=====

Entry 5:
The following is a DFT calculation (PBE) of Cu2GeO2 after structural relaxation.

Unit cell a=3.958 b=3.958 c=10.171 alpha=90.00 beta=90.00 gamma=90.00
Space group I4/mmm (No. 139)
Symmetry-distinct sites (fractional):
Cu 0.000 0.500 0.250 (multiplicity 4)
Ge 0.000 0.000 0.000 (multiplicity 2)
O 0.000 0.000 0.197 (multiplicity 4)

**Total moment**: 0.0 μB/f.u.
**Raw formation energy**: -1.30 eV per formula unit
**V**: 15.932 Å³/atom

=====

Entry 6:
The following is a DFT calculation (PBE) of ErInGe2 after structural relaxation.

Unit cell a=4.596 b=4.596 c=4.067 alpha=90.00 beta=90.00 gamma=90.00
Space group P4/mmm (No. 123)
Symmetry-distinct sites (fractional):
Er 0.000 0.000 0.000 (multiplicity 1)
In 0.500 0.500 0.000 (multiplicity 1)
Ge 0.000 0.500 0.500 (multiplicity 2)

**Calculated formation energy**: -0.3797 eV per atom
**Total moment**: 0.0 μB/f.u.
**V**: 21.475 Å³/atom

=====

Entry 7:
The following is a DFT calculation (PBE) of ScSbRu3 after structural relaxation.

Unit cell a=4.764 b=4.764 c=4.764 alpha=90.00 beta=90.00 gamma=90.00
Space group Pm-3m (No. 221)
Symmetry-distinct sites (fractional):
Sc 0.000 0.000 0.000 (multiplicity 1)
Sb 0.500 0.500 0.500 (multiplicity 1)
Ru 0.000 0.500 0.500 (multiplicity 3)

**Total moment**: 0.0 μB/f.u.
**Raw formation energy**: 4.83 eV per formula unit
**V**: 21.630 Å³/atom

=====

Entry 8:
The following is a DFT calculation (PBE) of KPmBi2O5 after structural relaxation.

Unit cell a=4.160 b=4.160 c=9.543 alpha=90.00 beta=90.00 gamma=90.00
Space group P4/mmm (No. 123)
Symmetry-distinct sites (fractional):
K 0.000 0.000 0.000 (multiplicity 1)
Pm 0.000 0.000 0.500 (multiplicity 1)
Bi 0.500 0.500 0.250 (multiplicity 2)
O 0.000 0.500 0.351 (multiplicity 4)
O 0.500 0.500 0.000 (multiplicity 1)

**Total moment**: 0.0 μB/f.u.
**Raw formation energy**: -16.30 eV per formula unit
**V**: 18.349 Å³/atom

=====

Entry 9:
The following is a DFT calculation (PBE) of ScGeOs3 after structural relaxation.

Unit cell a=4.526 b=4.526 c=4.526 alpha=90.00 beta=90.00 gamma=90.00
Space group Pm-3m (No. 221)
Symmetry-distinct sites (fractional):
Sc 0.000 0.000 0.000 (multiplicity 1)
Ge 0.500 0.500 0.500 (multiplicity 1)
Os 0.000 0.500 0.500 (multiplicity 3)

**Calculated formation energy**: 0.9776 eV per atom
**Total moment**: 0.0 μB/f.u.
**V**: 18.538 Å³/atom

=====

Entry 10:
The following is a DFT calculation (PBE) of Mg5Zr4 after structural relaxation.

Unit cell a=8.7322 b=8.7322 c=6.0508 alpha=90.00 beta=90.00 gamma=120.00
Space group P6_3/mcm (No. 193)
Symmetry-distinct sites (fractional):
Mg 0.0000 0.3457 0.2500 (multiplicity 6)
Mg 0.3333 0.6667 0.0000 (multiplicity 4)
Zr 0.0000 0.0000 0.0000 (multiplicity 2)
Zr 0.0000 0.3172 0.7500 (multiplicity 6)

**Calculated formation energy**: 0.1145 eV per atom
**Total moment**: 0.0 μB/f.u.
**V**: 22.198 Å³/atom

=====

Entry 11:
The following is a DFT calculation (PBE) of TlAgC after structural relaxation.

Unit cell a=3.9249 b=3.9249 c=8.5162 alpha=90.00 beta=90.00 gamma=120.00
Space group P6_3/mmc (No. 194)
Symmetry-distinct sites (fractional):
Tl 0.3333 0.6667 0.2500 (multiplicity 2)
Ag 0.0000 0.0000 0.0000 (multiplicity 2)
C 0.3333 0.6667 0.7500 (multiplicity 2)

**Calculated formation energy**: 1.6165 eV per atom
**Total moment**: 0.0 μB/f.u.
**V**: 18.936 Å³/atom

=====

Entry 12:
The following is a DFT calculation (PBE) of SmNpHN2 after structural relaxation.

Unit cell a=3.480 b=3.480 c=10.920 alpha=90.00 beta=90.00 gamma=90.00
Space group P4/nmm (No. 129, origin choice 2)
Symmetry-distinct sites (fractional):
Sm 0.250 0.250 0.142 (multiplicity 2)
Np 0.250 0.250 0.610 (multiplicity 2)
H 0.250 0.750 0.000 (multiplicity 2)
N 0.250 0.250 0.390 (multiplicity 2)
N 0.250 0.250 0.796 (multiplicity 2)

**Total moment**: 2.8 μB/f.u.
**DFT total energy**: -43.320 eV/f.u.
**V**: 13.222 Å³/atom

=====

Entry 13:
The following is a DFT calculation (PBE) of Pm5Tl after structural relaxation.

Unit cell a=4.964 b=15.559 c=4.983 alpha=90.00 beta=90.00 gamma=90.00
Space group Cmmm (No. 65)
Symmetry-distinct sites (fractional):
Pm 0.000 0.000 0.000 (multiplicity 2)
Pm 0.000 0.162 0.500 (multiplicity 4)
Pm 0.000 0.334 0.000 (multiplicity 4)
Tl 0.000 0.500 0.500 (multiplicity 2)

**Calculated formation energy**: -0.1075 eV per atom
**Total moment**: 0.0 μB/f.u.
**V**: 32.072 Å³/atom

=====

Entry 14:
The following is a DFT calculation (PBE) of LiInSn4 after structural relaxation.

Unit cell a=8.822 b=8.822 c=8.822 alpha=90.00 beta=90.00 gamma=90.00
Space group F-43m (No. 216)
Symmetry-distinct sites (fractional):
Li 0.000 0.000 0.000 (multiplicity 4)
In 0.250 0.250 0.750 (multiplicity 4)
Sn 0.125 0.125 0.375 (multiplicity 16)

**Calculated formation energy**: 0.0552 eV per atom
**Total moment**: 0.0 μB/f.u.
**V**: 28.604 Å³/atom

=====

Entry 15:
The following is a DFT calculation (PBE) of Sc2TaAs after structural relaxation.

Unit cell a=6.065 b=8.554 c=2.973 alpha=90.00 beta=90.00 gamma=90.00
Space group Cmmm (No. 65)
Symmetry-distinct sites (fractional):
Sc 0.250 0.250 0.000 (multiplicity 4)
Ta 0.000 0.000 0.500 (multiplicity 2)
As 0.000 0.500 0.500 (multiplicity 2)

**Calculated formation energy**: -0.2218 eV per atom
**Total moment**: 0.0 μB/f.u.
**V**: 19.283 Å³/atom

=====

Entry 16:
The following is a DFT calculation (PBE) of PmSm4ErTm2 after structural relaxation.

Unit cell a=6.198 b=3.587 c=11.830 alpha=90.00 beta=100.10 gamma=90.00
Space group P2/m (No. 10)
Symmetry-distinct sites (fractional):
Pm 0.000 0.000 0.000 (multiplicity 1)
Sm 0.250 0.000 0.749 (multiplicity 2)
Sm 0.251 0.500 0.253 (multiplicity 2)
Er 0.000 0.500 0.500 (multiplicity 1)
Tm 0.500 0.000 0.500 (multiplicity 1)
Tm 0.500 0.500 0.000 (multiplicity 1)

**Calculated formation energy**: 0.0194 eV per atom
**Total moment**: 0.0 μB/f.u.
**V**: 32.373 Å³/atom

=====

Entry 17:
The following is a DFT calculation (PBE) of Nd2ZrPaIr2 after structural relaxation.

Unit cell a=6.821 b=13.368 c=6.913 alpha=90.00 beta=90.00 gamma=90.00
Space group Ibam (No. 72)
Symmetry-distinct sites (fractional):
Nd 0.245 0.188 0.000 (multiplicity 8)
Zr 0.000 0.000 0.250 (multiplicity 4)
Pa 0.000 0.500 0.250 (multiplicity 4)
Ir 0.249 0.407 0.000 (multiplicity 8)

**Calculated formation energy**: -0.5667 eV per atom
**Total moment**: 0.0 μB/f.u.
**V**: 26.262 Å³/atom